Below is a relaxed structure of SrC2, with properties calculated at the PBE level.

Output
total magnetization = 0.00 μB per cell
uncorrected energy = -4.094 eV/atom
E_form = 2.62 eV per atom

abc: 4.137 4.137 4.137
angles: 63.54 63.54 63.54
Atoms (fractional coordinates):
1 Sr 0.000 0.000 0.000
2 C 0.292 0.292 0.292
3 C 0.708 0.708 0.708